(1)
The following is a DFT calculation (PBE) of a relaxed structure of BiSeN2F.

Values from the calculation:
Total magnetization, μB per cell: 0.000
Formation energy (no corrections), eV per formula unit: 3.63
Fermi-level density of states, states/eV/atom: 0.1565
ΔE to the lowest computed polymorph, meV per atom: 0

Lattice parameters (Å, degrees): 4.1066 4.1066 4.0816 90.00 90.00 90.00
Fractional coordinates of all 5 atoms:
N1 0.0000 0.5000 0.0000
N2 0.5000 0.0000 0.0000
F1 0.0000 0.0000 0.5000
Se1 0.0000 0.0000 0.0000
Bi1 0.5000 0.5000 0.5000



(2)
The following is a DFT calculation (PBE) of a relaxed structure of VCu3S4.

Values from the calculation:
Total magnetization, μB per cell: 0.001
Formation energy (no corrections), eV per formula unit: -4.01
ΔE to the lowest computed polymorph, meV per atom: 109

Lattice parameters (Å, degrees): 6.1850 6.3840 7.3578 90.00 90.00 90.00
Fractional coordinates of all 16 atoms:
S1 0.6505 0.1707 0.0000
S2 0.1240 0.3339 0.2462
S3 0.6269 0.1516 0.5000
S4 0.1269 0.8484 0.0000
S5 0.1240 0.3339 0.7538
S6 0.6240 0.6661 0.7462
S7 0.1505 0.8293 0.5000
S8 0.6240 0.6661 0.2538
Cu1 0.4941 0.3278 0.2514
Cu2 0.4963 0.8380 0.0000
Cu3 0.9941 0.6722 0.7514
Cu4 0.4941 0.3278 0.7486
Cu5 0.9963 0.1620 0.5000
Cu6 0.9941 0.6722 0.2486
V1 0.0053 0.1718 0.0000
V2 0.5053 0.8282 0.5000



(3)
The following is a DFT calculation (PBE) of a relaxed structure of SrCrNi.

Values from the calculation:
Total magnetization, μB per cell: 0.000
DFT formation energy, eV per atom: 0.478
Fermi-level density of states, states/eV/atom: 0.5761
ΔE to the lowest computed polymorph, meV per atom: 157

Lattice parameters (Å, degrees): 5.9499 4.0046 6.2954 108.51 62.13 89.98
Fractional coordinates of all 6 atoms:
Cr1 0.4358 0.6249 0.1472
Cr2 0.4116 0.4737 0.8466
Sr1 0.8905 0.9259 0.7504
Sr2 0.9569 0.1726 0.2432
Ni1 0.4788 0.8371 0.5729
Ni2 0.3680 0.2616 0.4212



(4)
The following is a DFT calculation (PBE) of a relaxed structure of MgBeMo2.

Values from the calculation:
Total magnetization, μB per cell: 0.000
DFT formation energy, eV per atom: 0.198
Fermi-level density of states, states/eV/atom: 0.5098
ΔE to the lowest computed polymorph, meV per atom: 0

Lattice parameters (Å, degrees): 2.7166 2.7166 8.0004 90.00 90.00 97.33
Fractional coordinates of all 4 atoms:
Mo1 0.0000 0.0000 0.0429
Mo2 0.0000 0.0000 0.4571
Be1 0.5000 0.5000 0.2500
Mg1 0.5000 0.5000 0.7500



(5)
The following is a DFT calculation (PBE) of a relaxed structure of Sm12ZnRh6.

Values from the calculation:
Total magnetization, μB per cell: 0.000
DFT formation energy, eV per atom: -0.446
Fermi-level density of states, states/eV/atom: 0.6810

Lattice parameters (Å, degrees): 8.3963 8.3963 8.3963 101.75 101.75 101.75
Fractional coordinates of all 19 atoms:
Sm1 0.3285 0.0757 0.9346
Sm2 0.9243 0.0654 0.6715
Sm3 0.0654 0.6715 0.9243
Sm4 0.9346 0.3285 0.0757
Sm5 0.6715 0.9243 0.0654
Sm6 0.8258 0.5838 0.4314
Sm7 0.5838 0.4314 0.8258
Sm8 0.0757 0.9346 0.3285
Sm9 0.4314 0.8258 0.5838
Sm10 0.4162 0.5686 0.1742
Sm11 0.1742 0.4162 0.5686
Sm12 0.5686 0.1742 0.4162
Rh1 0.3086 0.1390 0.6151
Rh2 0.6151 0.3086 0.1390
Rh3 0.1390 0.6151 0.3086
Rh4 0.6914 0.8610 0.3849
Rh5 0.3849 0.6914 0.8610
Rh6 0.8610 0.3849 0.6914
Zn1 0.0000 0.0000 0.0000



(6)
The following is a DFT calculation (PBE) of a relaxed structure of InHgBr2.

Values from the calculation:
Total magnetization, μB per cell: 0.000
Formation energy (no corrections), eV per formula unit: -1.81
Fermi-level density of states, states/eV/atom: 0.3195
ΔE to the lowest computed polymorph, meV per atom: 110

Lattice parameters (Å, degrees): 9.0211 9.0211 9.0211 26.38 26.38 26.38
Fractional coordinates of all 4 atoms:
Hg1 0.4949 0.4949 0.4949
Br1 0.0226 0.0226 0.0226
Br2 0.2263 0.2263 0.2263
In1 0.7562 0.7562 0.7562



(7)
The following is a DFT calculation (PBE) of a relaxed structure of HIrO2F.

Values from the calculation:
Total magnetization, μB per cell: 0.000
Fermi-level density of states, states/eV/atom: 0.8034
Total energy, eV per formula unit: -22.15

Lattice parameters (Å, degrees): 3.9509 3.9509 2.5458 90.00 90.00 90.00
Fractional coordinates of all 5 atoms:
H1 0.0000 0.0000 0.0000
O1 0.0000 0.5000 0.0000
O2 0.5000 0.0000 0.0000
Ir1 0.5000 0.5000 0.5000
F1 0.0000 0.0000 0.5000



(8)
The following is a DFT calculation (PBE) of a relaxed structure of RbSiPd2.

Values from the calculation:
Total magnetization, μB per cell: 0.000
Formation energy (no corrections), eV per formula unit: -0.52
Fermi-level density of states, states/eV/atom: 0.4667

Lattice parameters (Å, degrees): 5.5068 5.5068 8.5460 71.20 71.20 90.00
Fractional coordinates of all 8 atoms:
Si1 0.5000 0.5000 0.0000
Si2 0.2500 0.7500 0.5000
Pd1 0.3744 0.1250 0.2500
Pd2 0.8750 0.6244 0.7500
Pd3 0.3756 0.6250 0.2500
Pd4 0.3750 0.6256 0.7500
Rb1 0.0000 0.0000 0.0000
Rb2 0.7500 0.2500 0.5000